No. 1
# Nd7SmMg2

A relaxed structure of Nd7SmMg2 (GGA-PBE, Alexandria via LeMat-Bulk).

The space group is Cmmm (No. 65) and the conventional cell measures 8.9109, 16.6620 and 5.4102 Å, with angles of 90.00, 90.00 and 90.00 degrees. Symmetry generates all atoms from Nd at (0.0000, 0.0000, 0.0000), Nd at (0.0000, 0.2859, 0.5000), Nd at (0.1844, 0.3847, 0.0000), Sm at (0.0000, 0.5000, 0.5000) and Mg at (0.0000, 0.2018, 0.0000).

For the magnetic moment, the calculation gives 0.000 μB/atom. The total energy is -72.235 eV/cell.

---

No. 2
# Tb5Pr12Th2

A relaxed structure of Tb5Pr12Th2 (GGA-PBE, Alexandria via LeMat-Bulk).

The space group is C2/m (No. 12) and the conventional cell measures 15.5635, 10.6816 and 8.1059 Å, with angles of 90.00, 92.61 and 90.00 degrees. Symmetry generates all atoms from Tb at (0.0000, 0.0000, 0.0000), Tb at (0.1567, 0.5000, 0.5905), Tb at (0.2424, 0.0000, 0.9806), Pr at (0.0521, 0.5000, 0.2197), Pr at (0.1070, 0.2746, 0.8865), Pr at (0.1301, 0.0000, 0.6083), Pr at (0.1841, 0.2224, 0.2923) and Th at (0.0000, 0.2653, 0.5000).

For the magnetic moment, the calculation gives 0.000 μB/atom. The total energy is -185.002 eV/cell.

---

No. 3
# Li3Zr3VSe8

A relaxed structure of Li3Zr3VSe8 (GGA-PBE, Alexandria via LeMat-Bulk).

The space group is R-3m (No. 166, hexagonal axes) and the conventional cell measures 7.4999, 7.4999 and 19.8454 Å, with angles of 90.00, 90.00 and 120.00 degrees. Symmetry generates all atoms from Li at (0.0000, 0.5000, 0.0000), Zr at (0.0000, 0.5000, 0.5000), V at (0.0000, 0.0000, 0.5000), Se at (0.0000, 0.0000, 0.2505) and Se at (0.0092, 0.5046, 0.2470).

As for the uncorrected formation energy: -1237 meV per atom. For the magnetic moment, the calculation gives 0.161 μB/atom. The total energy is -260.813 eV/cell.

---

No. 4
# LiCuF4

A relaxed structure of LiCuF4 (GGA-PBE, Alexandria via LeMat-Bulk).

The space group is Pbcn (No. 60) and the conventional cell measures 4.6289, 5.5715 and 10.1115 Å, with angles of 90.00, 90.00 and 90.00 degrees. Symmetry generates all atoms from Li at (0.0000, 0.0000, 0.0000), Cu at (0.0000, 0.2985, 0.2500), F at (0.1853, 0.2861, 0.0859) and F at (0.2432, 0.0426, 0.3200).

As for the uncorrected formation energy: -1910 meV per atom. For the magnetic moment, the calculation gives 0.000 μB/atom. The total energy is -99.819 eV/cell.

---

No. 5
# As2RuBr

A relaxed structure of As2RuBr (GGA-PBE, Alexandria via LeMat-Bulk).

The space group is C2/m (No. 12) and the conventional cell measures 7.4184, 3.2300 and 7.9640 Å, with angles of 90.00, 108.35 and 90.00 degrees. Symmetry generates all atoms from As at (0.1490, 0.0000, 0.3412), Ru at (0.0000, 0.5000, 0.5000) and Br at (0.0000, 0.0000, 0.0000).

As for the uncorrected formation energy: -76 meV per atom. For the magnetic moment, the calculation gives 0.000 μB/atom. The total energy is -41.101 eV/cell.

---

No. 6
# SrCaPt2

A relaxed structure of SrCaPt2 (GGA-PBE, Alexandria via LeMat-Bulk).

The space group is Imm2 (No. 44) and the conventional cell measures 3.9303, 4.5013 and 10.7982 Å, with angles of 90.00, 90.00 and 90.00 degrees. Symmetry generates all atoms from Sr at (0.0000, 0.0000, 0.0000), Ca at (0.0000, 0.5000, 0.7739), Pt at (0.0000, 0.0000, 0.5545) and Pt at (0.0000, 0.5000, 0.2414).

For the magnetic moment, the calculation gives 0.000 μB/atom. The total energy is -36.706 eV/cell.

---

No. 7
# LaPmGa3

A relaxed structure of LaPmGa3 (GGA-PBE, Alexandria via LeMat-Bulk).

The space group is Cmcm (No. 63) and the conventional cell measures 4.4389, 26.2752 and 4.2747 Å, with angles of 90.00, 90.00 and 90.00 degrees. Symmetry generates all atoms from La at (0.0000, 0.0732, 0.2500), Pm at (0.0000, 0.2032, 0.7500), Ga at (0.0000, 0.3253, 0.7500), Ga at (0.0000, 0.3803, 0.2500) and Ga at (0.0000, 0.4761, 0.2500).

For the magnetic moment, the calculation gives 0.000 μB/atom. The total energy is -88.358 eV/cell.

---

No. 8
# BaBe2Tl

A relaxed structure of BaBe2Tl (GGA-PBE, Alexandria via LeMat-Bulk).

The space group is C2/m (No. 12) and the conventional cell measures 7.3875, 4.2603 and 6.4777 Å, with angles of 90.00, 112.24 and 90.00 degrees. Symmetry generates all atoms from Ba at (0.0000, 0.0000, 0.0000), Be at (0.1879, 0.0000, 0.5631) and Tl at (0.0000, 0.5000, 0.5000).

For the magnetic moment, the calculation gives 0.159 μB/atom. The total energy is -21.336 eV/cell.

---

No. 9
# Ti3PbO

A relaxed structure of Ti3PbO (GGA-PBE, Alexandria via LeMat-Bulk).

The space group is Cmcm (No. 63) and the conventional cell measures 4.4001, 13.8360 and 5.9446 Å, with angles of 90.00, 90.00 and 90.00 degrees. Symmetry generates all atoms from Ti at (0.0000, 0.1102, 0.2500), Ti at (0.0000, 0.2963, 0.5050), Pb at (0.0000, 0.1025, 0.7500) and O at (0.0000, 0.3906, 0.7500).

As for the uncorrected formation energy: -913 meV per atom. For the magnetic moment, the calculation gives 0.000 μB/atom. The total energy is -147.664 eV/cell.

---

No. 10
# CaAcPm

A relaxed structure of CaAcPm (GGA-PBE, Alexandria via LeMat-Bulk).

The space group is Cmcm (No. 63) and the conventional cell measures 3.8442, 20.4209 and 6.1515 Å, with angles of 90.00, 90.00 and 90.00 degrees. Symmetry generates all atoms from Ca at (0.0000, 0.2170, 0.2500), Ac at (0.0000, 0.1072, 0.7500) and Pm at (0.0000, 0.4485, 0.7500).

For the magnetic moment, the calculation gives 0.000 μB/atom. The total energy is -42.995 eV/cell.

---

No. 11
# CsNdTl2

A relaxed structure of CsNdTl2 (GGA-PBE, Alexandria via LeMat-Bulk).

The space group is R-3m (No. 166, hexagonal axes) and the conventional cell measures 4.0116, 4.0116 and 33.3700 Å, with angles of 90.00, 90.00 and 120.00 degrees. Symmetry generates all atoms from Cs at (0.0000, 0.0000, 0.0000), Nd at (0.0000, 0.0000, 0.5000) and Tl at (0.0000, 0.0000, 0.2388).

For the magnetic moment, the calculation gives 0.000 μB/atom. The total energy is -31.295 eV/cell.

---

No. 12
# PrNp2Tl3Te6

A relaxed structure of PrNp2Tl3Te6 (GGA-PBE, Alexandria via LeMat-Bulk).

The space group is C2/m (No. 12) and the conventional cell measures 7.8424, 13.5819 and 8.5898 Å, with angles of 90.00, 107.71 and 90.00 degrees. Symmetry generates all atoms from Pr at (0.0000, 0.0000, 0.0000), Np at (0.0000, 0.3329, 0.0000), Tl at (0.0000, 0.1646, 0.5000), Tl at (0.0000, 0.5000, 0.5000), Te at (0.2308, 0.5000, 0.2158) and Te at (0.2431, 0.1703, 0.2178).

As for the uncorrected formation energy: -728 meV per atom. For the magnetic moment, the calculation gives 0.667 μB/atom. The total energy is -130.698 eV/cell.

---

No. 13
# CsLaTeH2

A relaxed structure of CsLaTeH2 (GGA-PBE, Alexandria via LeMat-Bulk).

The space group is P4mm (No. 99) and the conventional cell measures 5.0145, 5.0145 and 6.2786 Å, with angles of 90.00, 90.00 and 90.00 degrees. Symmetry generates all atoms from Cs at (0.0000, 0.0000, 0.0000), La at (0.5000, 0.5000, 0.6240), Te at (0.5000, 0.5000, 0.1373) and H at (0.0000, 0.5000, 0.6597).

For the magnetic moment, the calculation gives 0.000 μB/atom. The total energy is -18.892 eV/cell.

---

No. 14
# PmErAlGa

A relaxed structure of PmErAlGa (GGA-PBE, Alexandria via LeMat-Bulk).

The space group is F-43m (No. 216) and the conventional cell measures 7.2481, 7.2481 and 7.2481 Å, with angles of 90.00, 90.00 and 90.00 degrees. Symmetry generates all atoms from Pm at (0.0000, 0.0000, 0.0000), Er at (0.0000, 0.0000, 0.5000), Al at (0.2500, 0.2500, 0.7500) and Ga at (0.2500, 0.2500, 0.2500).

For the magnetic moment, the calculation gives 0.000 μB/atom. The total energy is -71.775 eV/cell.

---

No. 15
# LiSnB

A relaxed structure of LiSnB (GGA-PBE, Alexandria via LeMat-Bulk).

The space group is Pnma (No. 62) and the conventional cell measures 8.3424, 3.8560 and 5.9849 Å, with angles of 90.00, 90.00 and 90.00 degrees. Symmetry generates all atoms from Li at (0.1201, 0.2500, 0.1598), Sn at (0.1382, 0.2500, 0.6295) and B at (0.1578, 0.7500, 0.4005).

For the magnetic moment, the calculation gives 0.000 μB/atom. The total energy is -47.462 eV/cell.

---

No. 16
# TaCl3

A relaxed structure of TaCl3 (GGA-PBE, Alexandria via LeMat-Bulk).

The space group is Pmm2 (No. 25) and the conventional cell measures 3.2088, 4.4195 and 7.1694 Å, with angles of 90.00, 90.00 and 90.00 degrees. Symmetry generates all atoms from Ta at (0.0000, 0.0000, 0.0000), Cl at (0.0000, 0.5000, 0.8677), Cl at (0.5000, 0.0000, 0.7316) and Cl at (0.5000, 0.5000, 0.2431).

As for the uncorrected formation energy: -314 meV per atom. For the magnetic moment, the calculation gives 0.138 μB/atom. The total energy is -18.650 eV/cell.

---

No. 17
# TbPmGe2Rh2

A relaxed structure of TbPmGe2Rh2 (GGA-PBE, Alexandria via LeMat-Bulk).

The space group is P-3m1 (No. 164) and the conventional cell measures 4.3893, 4.3893 and 7.2499 Å, with angles of 90.00, 90.00 and 120.00 degrees. Symmetry generates all atoms from Tb at (0.0000, 0.0000, 0.0000), Pm at (0.0000, 0.0000, 0.5000), Ge at (0.3333, 0.6667, 0.7631) and Rh at (0.3333, 0.6667, 0.2259).

For the magnetic moment, the calculation gives 0.000 μB/atom. The total energy is -38.633 eV/cell.

---

No. 18
# Ba2Be2PbO6

A relaxed structure of Ba2Be2PbO6 (GGA-PBE, Alexandria via LeMat-Bulk).

The space group is R-3m (No. 166, hexagonal axes) and the conventional cell measures 5.6412, 5.6412 and 17.2429 Å, with angles of 90.00, 90.00 and 120.00 degrees. Symmetry generates all atoms from Ba at (0.0000, 0.0000, 0.2188), Be at (0.0000, 0.0000, 0.4122), Pb at (0.0000, 0.0000, 0.0000) and O at (0.0150, 0.5075, 0.2522).

As for the uncorrected formation energy: -2201 meV per atom. For the magnetic moment, the calculation gives 0.000 μB/atom. The total energy is -206.884 eV/cell.

---

No. 19
# PrDy14Y

A relaxed structure of PrDy14Y (GGA-PBE, Alexandria via LeMat-Bulk).

The space group is Amm2 (No. 38) and the conventional cell measures 11.4955, 7.1434 and 12.3658 Å, with angles of 90.00, 90.00 and 90.00 degrees. Symmetry generates all atoms from Pr at (0.0000, 0.0000, 0.0000), Dy at (0.0000, 0.2502, 0.2502), Dy at (0.2505, 0.0000, 0.6673), Dy at (0.2518, 0.0000, 0.1673), Dy at (0.2525, 0.2499, 0.4168), Dy at (0.5000, 0.0000, 0.3337), Dy at (0.5000, 0.0000, 0.8337), Dy at (0.5000, 0.2502, 0.0840) and Y at (0.0000, 0.0000, 0.5001).

For the magnetic moment, the calculation gives 0.000 μB/atom. The total energy is -151.207 eV/cell.

---

No. 20
# LiTmCoCl6

A relaxed structure of LiTmCoCl6 (GGA-PBE, Alexandria via LeMat-Bulk).

The space group is P-31c (No. 163) and the conventional cell measures 6.4077, 6.4077 and 11.8503 Å, with angles of 90.00, 90.00 and 120.00 degrees. Symmetry generates all atoms from Li at (0.0000, 0.0000, 0.0000), Tm at (0.3333, 0.6667, 0.2500), Co at (0.3333, 0.6667, 0.7500) and Cl at (0.0181, 0.3534, 0.6302).

As for the uncorrected formation energy: -1556 meV per atom. For the magnetic moment, the calculation gives 0.333 μB/atom. The total energy is -77.150 eV/cell.